Entry from Alexandria: BeNi2Rh after structural relaxation (GGA-PBE).

Calculated values
* volume: 44 Å³/cell
* density: 8.58 g/cm³
* total energy: -23.3 eV/f.u.
* energy relative to the elements: -0.16 eV/atom

a b c (Å): 4.4327 4.4327 4.2402
angles (deg): 71.56 71.56 34.37
Positions (direct):
Be1 0.2604 0.2604 0.2765
Ni1 0.9795 0.9795 0.9841
Ni2 0.7419 0.7419 0.7832
Rh1 0.5182 0.5182 0.4562

Entry from Alexandria: LaTa2P after structural relaxation (GGA-PBE).

Calculated values
* volume: 83 Å³/cell
* density: 10.65 g/cm³
* total energy: -35.0 eV/f.u.
* energy relative to the elements: -0.24 eV/atom

a b c (Å): 3.3826 3.3826 7.2441
angles (deg): 90.00 90.00 90.01
Positions (direct):
Ta1 0.5000 0.5000 0.1937
Ta2 0.0000 0.0000 0.9811
La1 0.0000 0.0000 0.5060
P1 0.5000 0.5000 0.8192